PrAs12Os4 after structural relaxation, computed with PBE-GGA.

The calculation puts the total energy at -6.5461 eV per atom. For the density of states at the Fermi level, the calculation gives 0.80 states/eV per atom. Its calculated density is 9289 kg/m3. The value obtained for the total magnetic moment is 0.0 Bohr magnetons per cell.

Cell lengths 7.478, 7.478, 7.478 Å; angles 109.47, 109.47, 109.47 degrees
Sites, in units of the cell vectors:
Pr  0.000  0.000  0.000
As  0.150  0.348  0.497
As  0.150  0.652  0.802
As  0.198  0.850  0.348
As  0.348  0.198  0.850
As  0.348  0.497  0.150
As  0.497  0.150  0.348
As  0.503  0.850  0.652
As  0.652  0.503  0.850
As  0.652  0.802  0.150
As  0.802  0.150  0.652
As  0.850  0.348  0.198
As  0.850  0.652  0.503
Os  0.000  0.000  0.500
Os  0.000  0.500  0.000
Os  0.500  0.000  0.000
Os  0.500  0.500  0.500